## Ho5Er2Mg (PBE)

Data for Ho5Er2Mg after structural relaxation.

```
16
Lattice="7.394 0.001 3.163 -3.696 4.624 -1.582 7.195 -0.001 17.418" Properties=species:S:1:pos:R:3 pbc="T T T"
Ho 9.818 3.689 16.255
Ho 8.372 3.691 13.036
Ho 2.960 4.328 7.192
Ho 0.641 4.329 1.515
Ho 5.494 2.461 5.930
Ho 5.398 2.162 13.069
Ho 7.932 0.295 11.807
Ho 10.252 0.295 17.484
Ho 1.074 0.934 2.744
Ho 2.520 0.932 5.963
Er 7.043 2.963 9.857
Er 3.946 2.963 2.023
Er 3.849 1.660 9.142
Er 6.947 1.661 16.976
Mg 9.095 0.836 14.642
Mg 1.797 3.787 4.357
```

**N(E_F)**: 23.86 states/eV/cell
**Space-group type**: No. 2
**DFT formation energy**: 9.2 kJ/mol of atoms